Here is a relaxed PmNd2Dy6Ho3 crystal from the Alexandria database. Energies are from PBE.

Summary:
The calculation puts the formation energy at 0.21 eV/f.u. Its symmetry is C2/m (12). The raw total energy comes out at -55.42 eV for the cell shown. The value obtained for the total magnetization is 0.000 μB/atom. As for the calculated density: 8200 kg/m3.

```
PmNd2Dy6Ho3
1.0
3.093 -5.355 0.000
3.093 5.355 0.000
-2.056 0.000 11.636
Pm Nd Dy Ho
1 2 6 3
Direct
0.000 0.000 0.000 Pm
0.333 0.667 0.000 Nd
0.667 0.333 0.000 Nd
0.085 0.418 0.254 Dy
0.248 0.248 0.746 Dy
0.418 0.085 0.254 Dy
0.582 0.915 0.746 Dy
0.752 0.752 0.254 Dy
0.915 0.582 0.746 Dy
0.167 0.833 0.500 Ho
0.500 0.500 0.500 Ho
0.833 0.167 0.500 Ho
```

***

Here is a relaxed PmNdDyHo crystal from the Alexandria database. Energies are from PBE.

Summary:
As for the relative energy among the computed polymorphs: 38 kJ/mol of formula units. The calculation puts the formation energy at 0.48 eV/f.u. Its symmetry is F-43m (216). The raw total energy comes out at -72.89 eV for the cell shown. The value obtained for the total magnetization is 0.000 μB/atom. As for the calculated density: 7704 kg/m3.

```
PmNdDyHo
1.0
8.101 0.000 0.000
0.000 8.101 0.000
0.000 0.000 8.101
Pm Nd Dy Ho
4 4 4 4
Direct
0.000 0.000 0.000 Pm
0.000 0.500 0.500 Pm
0.500 0.000 0.500 Pm
0.500 0.500 0.000 Pm
0.000 0.000 0.500 Nd
0.000 0.500 0.000 Nd
0.500 0.000 0.000 Nd
0.500 0.500 0.500 Nd
0.250 0.250 0.750 Dy
0.250 0.750 0.250 Dy
0.750 0.250 0.250 Dy
0.750 0.750 0.750 Dy
0.250 0.250 0.250 Ho
0.250 0.750 0.750 Ho
0.750 0.250 0.750 Ho
0.750 0.750 0.250 Ho
```

***

Here is a relaxed Pm6NdDy3Ho2 crystal from the Alexandria database. Energies are from PBE.

Summary:
The calculation puts the formation energy at 0.16 eV/f.u. Its symmetry is C2/m (12). The raw total energy comes out at -56.07 eV for the cell shown. The value obtained for the total magnetization is 0.000 μB/atom. As for the calculated density: 7672 kg/m3.

```
Pm6NdDy3Ho2
1.0
3.126 -5.412 0.000
3.126 5.412 0.000
-2.076 0.000 11.715
Pm Nd Dy Ho
6 1 3 2
Direct
0.082 0.416 0.249 Pm
0.250 0.250 0.751 Pm
0.416 0.082 0.249 Pm
0.584 0.918 0.751 Pm
0.750 0.750 0.249 Pm
0.918 0.584 0.751 Pm
0.500 0.500 0.500 Nd
0.000 0.000 0.000 Dy
0.333 0.667 0.000 Dy
0.667 0.333 0.000 Dy
0.167 0.833 0.500 Ho
0.833 0.167 0.500 Ho
```

***

Here is a relaxed Pm6Nd2DyHo crystal from the Alexandria database. Energies are from PBE.

Summary:
The calculation puts the formation energy at 1.15 eV/f.u. Its symmetry is C2/c (15). The raw total energy comes out at -92.14 eV for the cell shown. The value obtained for the total magnetization is 0.000 μB/atom. As for the calculated density: 7204 kg/m3.

```
Pm6Nd2DyHo
1.0
4.593 -7.673 0.000
4.593 7.673 0.000
-1.469 0.000 9.718
Pm Nd Dy Ho
12 4 2 2
Direct
0.017 0.574 0.189 Pm
0.123 0.752 0.556 Pm
0.248 0.877 0.944 Pm
0.292 0.501 0.380 Pm
0.426 0.983 0.311 Pm
0.499 0.708 0.120 Pm
0.501 0.292 0.880 Pm
0.574 0.017 0.689 Pm
0.708 0.499 0.620 Pm
0.752 0.123 0.056 Pm
0.877 0.248 0.444 Pm
0.983 0.426 0.811 Pm
0.195 0.297 0.042 Nd
0.297 0.195 0.542 Nd
0.703 0.805 0.458 Nd
0.805 0.703 0.958 Nd
0.020 0.980 0.250 Dy
0.980 0.020 0.750 Dy
0.408 0.592 0.750 Ho
0.592 0.408 0.250 Ho
```

***

Here is a relaxed Pm6Nd2DyHo3 crystal from the Alexandria database. Energies are from PBE.

Summary:
The calculation puts the formation energy at 0.18 eV/f.u. Its symmetry is C2/m (12). The raw total energy comes out at -56.20 eV for the cell shown. The value obtained for the total magnetization is 0.000 μB/atom. As for the calculated density: 7532 kg/m3.

```
Pm6Nd2DyHo3
1.0
3.134 -5.429 0.000
3.134 5.429 0.000
-2.088 0.000 11.764
Pm Nd Dy Ho
6 2 1 3
Direct
0.084 0.417 0.753 Pm
0.248 0.248 0.247 Pm
0.417 0.084 0.753 Pm
0.583 0.916 0.247 Pm
0.752 0.752 0.753 Pm
0.916 0.583 0.247 Pm
0.333 0.667 0.500 Nd
0.667 0.333 0.500 Nd
0.000 0.000 0.500 Dy
0.167 0.833 0.000 Ho
0.500 0.500 0.000 Ho
0.833 0.167 0.000 Ho
```

***

Here is a relaxed PmNd2DyHo5 crystal from the Alexandria database. Energies are from PBE.

Summary:
The calculation puts the formation energy at 2.39 eV/f.u. Its symmetry is I4/mcm (140). The raw total energy comes out at -78.78 eV for the cell shown. The value obtained for the total magnetization is 0.000 μB/atom. As for the calculated density: 8035 kg/m3.

```
PmNd2DyHo5
1.0
-4.347 4.347 7.769
4.347 -4.347 7.769
4.347 4.347 -7.769
Pm Nd Dy Ho
2 4 2 10
Direct
0.250 0.250 0.000 Pm
0.750 0.750 0.000 Pm
0.117 0.617 0.734 Nd
0.383 0.117 0.500 Nd
0.617 0.883 0.500 Nd
0.883 0.383 0.266 Nd
0.250 0.750 0.500 Dy
0.750 0.250 0.500 Dy
0.000 0.000 0.000 Ho
0.072 0.151 0.500 Ho
0.151 0.651 0.078 Ho
0.349 0.428 0.500 Ho
0.428 0.928 0.078 Ho
0.500 0.500 0.000 Ho
0.572 0.072 0.922 Ho
0.651 0.572 0.500 Ho
0.849 0.349 0.922 Ho
0.928 0.849 0.500 Ho
```

***

Here is a relaxed PmNdDyHo crystal from the Alexandria database. Energies are from PBE.

Summary:
As for the relative energy among the computed polymorphs: 0 kJ/mol of formula units. The calculation puts the formation energy at 0.08 eV/f.u. Its symmetry is Pmmm (47). The raw total energy comes out at -18.62 eV for the cell shown. The value obtained for the total magnetization is 0.000 μB/atom. As for the calculated density: 7775 kg/m3.

```
PmNdDyHo
1.0
5.051 0.000 0.000
0.000 5.106 0.000
0.000 0.000 5.107
Pm Nd Dy Ho
1 1 1 1
Direct
0.000 0.000 0.000 Pm
0.000 0.500 0.500 Nd
0.500 0.500 0.000 Dy
0.500 0.000 0.500 Ho
```

***

Here is a relaxed Pm2NdDy2Ho2 crystal from the Alexandria database. Energies are from PBE.

Summary:
The calculation puts the formation energy at 0.12 eV/f.u. Its symmetry is C2/m (12). The raw total energy comes out at -65.03 eV for the cell shown. The value obtained for the total magnetization is 0.000 μB/atom. As for the calculated density: 7919 kg/m3.

```
Pm2NdDy2Ho2
1.0
11.320 0.000 0.000
0.000 5.073 0.000
-1.145 0.000 7.955
Pm Nd Dy Ho
4 2 4 4
Direct
0.143 0.000 0.429 Pm
0.357 0.500 0.571 Pm
0.643 0.500 0.429 Pm
0.857 0.000 0.571 Pm
0.000 0.000 0.000 Nd
0.500 0.500 0.000 Nd
0.215 0.500 0.142 Dy
0.285 0.000 0.858 Dy
0.715 0.000 0.142 Dy
0.785 0.500 0.858 Dy
0.072 0.500 0.715 Ho
0.428 0.000 0.285 Ho
0.572 0.000 0.715 Ho
0.928 0.500 0.285 Ho
```